Density functional theory data (PBE) for a relaxed La6SmMg crystal.

Its calculated volume is 556 Å³ per cell. Its energy is -4.248 eV/atom. As for the density: 6.0 Mg/m³. The calculation puts the spin magnetization at 0.0 μB/cell.

The structure belongs to space group C2/m (No. 12); the cell edges are 7.082, 12.693 and 6.930 Å and the angles 90.00°, 116.79° and 90.00°. The asymmetric unit holds La at (0.003, 0.000, 0.280), La at (0.025, 0.267, 0.270), Sm at (0.000, 0.500, 0.000) and Mg at (0.000, 0.500, 0.500).